Record 1
First-principles (PBE) data for a relaxed Cs2SiSn crystal, as listed in Alexandria via LeMat-Bulk.

Space group   Fm-3m (225)

a = 6.375 Å, b = 6.375 Å, c = 6.375 Å
α = 60.00°, β = 60.00°, γ = 60.00°
Each line ends with the local moment (μB).
Sites, in units of the cell vectors:
Sn (0.500, 0.500, 0.500)  -0.67
Si (0.000, 0.000, 0.000)  0.48
Cs (0.250, 0.250, 0.250)  -0.01
Cs (0.750, 0.750, 0.750)  -0.01

***

Record 2
First-principles (PBE) data for a relaxed Cs2SiSn2 crystal, as listed in Alexandria via LeMat-Bulk.

Space group   P4/mbm (127)
N(E_F)   8.75 states/eV/cell
Offset from the most stable computed form   194.0 meV/atom

a = 11.279 Å, b = 11.279 Å, c = 3.458 Å
α = 90.00°, β = 90.00°, γ = 90.00°
Each line ends with the local moment (μB).
Sites, in units of the cell vectors:
Cs (0.792, 0.292, 0.500)  0.01
Si (0.500, 0.500, 0.000)  0.28
Sn (0.412, 0.912, 0.000)  -0.01
Cs (0.208, 0.708, 0.500)  0.01
Si (0.000, 0.000, 0.000)  0.28
Sn (0.588, 0.088, 0.000)  -0.01
Cs (0.708, 0.792, 0.500)  0.01
Sn (0.912, 0.588, 0.000)  -0.01
Sn (0.088, 0.412, 0.000)  -0.01
Cs (0.292, 0.208, 0.500)  0.01

***

Record 3
First-principles (PBE) data for a relaxed CsSi2Sn2 crystal, as listed in Alexandria via LeMat-Bulk.

Space group   I4/mmm (139)
N(E_F)   1.29 states/eV/cell
Offset from the most stable computed form   0.0 meV/atom

a = 4.403 Å, b = 4.403 Å, c = 9.025 Å
α = 75.88°, β = 75.88°, γ = 90.00°
Sites, in units of the cell vectors:
Cs (0.000, 0.000, 0.000)
Sn (0.651, 0.651, 0.698)
Si (0.750, 0.250, 0.500)
Si (0.250, 0.750, 0.500)
Sn (0.349, 0.349, 0.302)

***

Record 4
First-principles (PBE) data for a relaxed CsSiSn3 crystal, as listed in Alexandria via LeMat-Bulk.

Space group   Pm-3m (221)
N(E_F)   3.65 states/eV/cell

a = 5.524 Å, b = 5.524 Å, c = 5.524 Å
α = 90.00°, β = 90.00°, γ = 90.00°
Sites, in units of the cell vectors:
Si (0.000, 0.000, 0.000)
Sn (0.500, 0.000, 0.000)
Sn (0.000, 0.000, 0.500)
Cs (0.500, 0.500, 0.500)
Sn (0.000, 0.500, 0.000)

***

Record 5
First-principles (PBE) data for a relaxed CsSi2Sn2 crystal, as listed in Alexandria via LeMat-Bulk.

Space group   P4/mbm (127)
N(E_F)   3.98 states/eV/cell
Offset from the most stable computed form   84.5 meV/atom

a = 9.138 Å, b = 9.138 Å, c = 3.816 Å
α = 90.00°, β = 90.00°, γ = 90.00°
Sites, in units of the cell vectors:
Sn (0.370, 0.130, 0.500)
Cs (0.000, 0.000, 0.000)
Si (0.901, 0.599, 0.000)
Sn (0.870, 0.370, 0.500)
Sn (0.630, 0.870, 0.500)
Sn (0.130, 0.630, 0.500)
Si (0.401, 0.901, 0.000)
Si (0.099, 0.401, 0.000)
Cs (0.500, 0.500, 0.000)
Si (0.599, 0.099, 0.000)

***

Record 6
First-principles (PBE) data for a relaxed Cs2SiSn2 crystal, as listed in Alexandria via LeMat-Bulk.

Space group   P4/mbm (127)
N(E_F)   11.58 states/eV/cell
Offset from the most stable computed form   481.7 meV/atom

a = 11.459 Å, b = 11.459 Å, c = 3.317 Å
α = 90.00°, β = 90.00°, γ = 90.00°
Sites, in units of the cell vectors:
Cs (0.375, 0.875, 0.000)
Si (0.000, 0.000, 0.000)
Sn (0.675, 0.825, 0.500)
Cs (0.125, 0.375, 0.000)
Sn (0.825, 0.325, 0.500)
Sn (0.325, 0.175, 0.500)
Si (0.500, 0.500, 0.000)
Cs (0.625, 0.125, 0.000)
Cs (0.875, 0.625, 0.000)
Sn (0.175, 0.675, 0.500)

***

Record 7
First-principles (PBE) data for a relaxed CsSi2Sn2 crystal, as listed in Alexandria via LeMat-Bulk.

Space group   I4/mmm (139)
N(E_F)   1.79 states/eV/cell
Offset from the most stable computed form   26.9 meV/atom

a = 4.674 Å, b = 4.674 Å, c = 8.105 Å
α = 73.24°, β = 73.24°, γ = 90.00°
Sites, in units of the cell vectors:
Sn (0.750, 0.250, 0.500)
Si (0.356, 0.356, 0.288)
Sn (0.250, 0.750, 0.500)
Si (0.644, 0.644, 0.712)
Cs (0.000, 0.000, 0.000)

***

Record 8
First-principles (PBE) data for a relaxed Cs2SiSn2 crystal, as listed in Alexandria via LeMat-Bulk.

Space group   I4/mmm (139)
N(E_F)   3.40 states/eV/cell
Offset from the most stable computed form   0.0 meV/atom

a = 4.218 Å, b = 4.218 Å, c = 12.436 Å
α = 80.24°, β = 80.24°, γ = 90.00°
Each line ends with the local moment (μB).
Sites, in units of the cell vectors:
Si (0.000, 0.000, 0.000)  0.21
Cs (0.597, 0.597, 0.807)  0.02
Cs (0.403, 0.403, 0.193)  0.02
Sn (0.750, 0.250, 0.500)  0.00
Sn (0.250, 0.750, 0.500)  0.00

***

Record 9
First-principles (PBE) data for a relaxed Cs2SiSnTe4 crystal, as listed in Alexandria via LeMat-Bulk.

Space group   Fddd (70)

a = 7.149 Å, b = 8.579 Å, c = 14.101 Å
α = 83.94°, β = 75.32°, γ = 65.38°
Sites, in units of the cell vectors:
Si (0.500, 0.000, 0.000)
Si (0.250, 0.500, 0.500)
Cs (0.567, 0.500, 0.865)
Te (0.403, 0.695, 0.389)
Sn (0.750, 0.500, 0.500)
Cs (0.183, 0.000, 0.635)
Te (0.263, 0.195, 0.889)
Te (0.487, 0.305, 0.611)
Cs (0.933, 0.500, 0.135)
Sn (0.000, 0.000, 0.000)
Te (0.208, 0.305, 0.389)
Te (0.347, 0.805, 0.111)
Cs (0.817, 0.000, 0.365)
Te (0.542, 0.195, 0.111)
Te (0.848, 0.805, 0.889)
Te (0.902, 0.695, 0.611)

***

Record 10
First-principles (PBE) data for a relaxed CsSiSnTe4 crystal, as listed in Alexandria via LeMat-Bulk.

Space group   P2_1/m (11)
N(E_F)   8.38 states/eV/cell

a = 6.964 Å, b = 7.716 Å, c = 10.689 Å
α = 90.00°, β = 110.49°, γ = 90.00°
Sites, in units of the cell vectors:
Si (0.809, 0.250, 0.668)
Cs (0.752, 0.750, 0.942)
Te (0.435, 0.750, 0.571)
Te (0.565, 0.250, 0.429)
Cs (0.248, 0.250, 0.058)
Te (0.388, 0.750, 0.177)
Sn (0.773, 0.750, 0.455)
Te (0.048, 0.510, 0.704)
Te (0.952, 0.490, 0.296)
Te (0.952, 0.010, 0.296)
Te (0.048, 0.990, 0.704)
Sn (0.227, 0.250, 0.545)
Te (0.612, 0.250, 0.823)
Si (0.191, 0.750, 0.332)

***

Record 11
First-principles (PBE) data for a relaxed CsSr2Si2 crystal, as listed in Alexandria via LeMat-Bulk.

Space group   P4/mbm (127)
N(E_F)   9.43 states/eV/cell
Offset from the most stable computed form   1.7 meV/atom

a = 8.642 Å, b = 8.642 Å, c = 4.691 Å
α = 90.00°, β = 90.00°, γ = 90.00°
Sites, in units of the cell vectors:
Si (0.903, 0.597, 0.000)
Cs (0.500, 0.500, 0.000)
Si (0.597, 0.097, 0.000)
Cs (0.000, 0.000, 0.000)
Si (0.403, 0.903, 0.000)
Sr (0.666, 0.834, 0.500)
Sr (0.834, 0.334, 0.500)
Sr (0.166, 0.666, 0.500)
Si (0.097, 0.403, 0.000)
Sr (0.334, 0.166, 0.500)

***

Record 12
First-principles (PBE) data for a relaxed CsSr2Si2 crystal, as listed in Alexandria via LeMat-Bulk.

Space group   I4/mmm (139)
N(E_F)   5.07 states/eV/cell
Offset from the most stable computed form   0.0 meV/atom

a = 5.634 Å, b = 5.634 Å, c = 6.926 Å
α = 66.00°, β = 66.00°, γ = 90.00°
Sites, in units of the cell vectors:
Cs (0.000, 0.000, 0.000)
Si (0.605, 0.605, 0.791)
Si (0.395, 0.395, 0.209)
Sr (0.750, 0.250, 0.500)
Sr (0.250, 0.750, 0.500)

***

E_tot values (in eV per cell) by entry order: -8.97, -25.01, -19.22, -16.77, -37.60, -22.14, -19.09, -13.48, -55.99, -50.58, -30.69, -15.35.
Energy relative to the elements, uncorrected values (in eV/atom) by entry order: 0.54, 0.53, 0.10, 0.30, 0.18, 0.81, 0.12, 0.33, -0.54, -0.35, -0.06, -0.06.